1 | Below is a relaxed structure of Ga2CoTc, with properties calculated at the PBE level.

Computed properties:
The value obtained for the total magnetization is 3.915 μB per cell.

Cell and atoms, written as extended XYZ:
```
8
Lattice="6.6758 0.0000 0.0000 0.0000 6.6758 0.0000 3.3379 3.3379 2.6557" Properties=species:S:1:pos:R:3 pbc="T T T"
Co 3.3379 3.3379 0.0000
Co 3.3379 6.6758 1.3278
Tc 0.0000 0.0000 0.0000
Tc 6.6758 3.3379 1.3278
Ga 4.8454 1.6689 0.6639
Ga 1.8304 5.0068 0.6639
Ga 5.0068 5.1683 1.9918
Ga 8.3447 8.1832 1.9918
```

2 | Below is a relaxed structure of Ga2CoTc, with properties calculated at the PBE level.

Computed properties:
The value obtained for the total magnetization is 0.904 μB per cell.

Cell and atoms, written as extended XYZ:
```
4
Lattice="-2.5165 -1.7932 0.4968 0.7039 -1.9756 -3.5657 2.3565 -2.7553 1.9918" Properties=species:S:1:pos:R:3 pbc="T T T"
Co 0.2719 -3.2620 -0.5386
Tc -1.2583 -0.8966 0.2484
Ga 1.1783 -1.3777 0.9959
Ga 0.3519 -0.9878 -1.7828
```

Winner for stability: 2

1 | Below is a relaxed structure of Ga2CoTc, with properties calculated at the PBE level.

Computed properties:
The value obtained for the total magnetization is 0.951 μB per cell.

Cell and atoms, written as extended XYZ:
```
4
Lattice="2.8156 0.0000 0.0000 1.4078 2.4384 0.0000 1.4078 0.8128 8.0529" Properties=species:S:1:pos:R:3 pbc="T T T"
Co 0.0000 0.0000 0.0000
Tc 2.8156 1.6256 4.0265
Ga 1.4078 0.8128 1.8914
Ga 4.2234 2.4384 6.1615
```

2 | Below is a relaxed structure of Ga2CoTc, with properties calculated at the PBE level.

Computed properties:
The value obtained for the total magnetization is 0.524 μB per cell.

Cell and atoms, written as extended XYZ:
```
4
Lattice="0.0000 2.9871 2.9871 2.9871 0.0000 2.9871 2.9871 2.9871 0.0000" Properties=species:S:1:pos:R:3 pbc="T T T"
Co 0.0000 0.0000 0.0000
Tc 2.9871 2.9871 2.9871
Ga 1.4935 1.4935 1.4935
Ga 4.4806 4.4806 4.4806
```

3 | Below is a relaxed structure of Ga2CoTc, with properties calculated at the PBE level.

Computed properties:
The value obtained for the total magnetization is 0.900 μB per cell.

Cell and atoms, written as extended XYZ:
```
4
Lattice="-1.4771 2.1551 -1.0632 -2.3379 0.8875 1.3051 3.0963 6.1465 4.4152" Properties=species:S:1:pos:R:3 pbc="T T T"
Ga 2.0711 4.9418 3.3978
Ga -0.2463 2.2190 1.0981
Co -2.5372 2.0357 0.1674
Tc -0.3656 4.5872 2.3223
```

4 | Below is a relaxed structure of Ga2CoTc, with properties calculated at the PBE level.

Computed properties:
The value obtained for the total magnetization is 0.236 μB per cell.

Cell and atoms, written as extended XYZ:
```
4
Lattice="-2.7861 -0.4576 -0.8633 0.6343 -2.8313 -0.5463 -1.5268 -1.4401 5.6909" Properties=species:S:1:pos:R:3 pbc="T T T"
Co -1.0759 -1.6445 -0.7048
Tc -1.8393 -2.3645 2.1407
Ga -1.1743 -1.1077 4.3771
Ga -0.3525 -0.3325 1.3139
```

Winner for stability: 4

1 | Below is a relaxed structure of Ga2Co2Te, with properties calculated at the PBE level.

Computed properties:
The value obtained for the total magnetization is 0.000 μB per cell.

Cell and atoms, written as extended XYZ:
```
10
Lattice="-2.2084 5.4998 -4.0445 -6.5512 -2.9030 -0.3704 -0.7793 1.4523 2.4005" Properties=species:S:1:pos:R:3 pbc="T T T"
Te 0.0000 0.0000 0.0000
Te -4.3798 1.2984 -2.2075
Co -6.2566 -0.5678 -1.6876
Co -6.1776 2.7064 -3.6430
Co -2.5031 3.1646 -2.7273
Co -2.5821 -0.1096 -0.7719
Ga -4.8410 -0.3768 0.4224
Ga -7.4622 1.7008 -1.6856
Ga -4.6980 4.4259 -2.4369
Ga -2.0768 2.3483 -0.3289
```

2 | Below is a relaxed structure of Ga2Co2Te, with properties calculated at the PBE level.

Computed properties:
The value obtained for the total magnetization is 0.000 μB per cell.

Cell and atoms, written as extended XYZ:
```
10
Lattice="-4.3221 5.0809 -3.0884 -5.6675 -2.3659 4.0393 0.6953 1.8394 2.0530" Properties=species:S:1:pos:R:3 pbc="T T T"
Te 0.0000 0.0000 0.0000
Te -4.9948 1.3575 0.4754
Co -4.0727 0.1680 3.1972
Co -7.2672 2.2770 2.3895
Co -5.2215 4.3864 -0.1933
Co -2.0271 2.2774 0.6144
Ga -6.5229 -0.1803 2.3708
Ga -7.3317 2.9246 -0.1372
Ga -3.4667 2.8953 -1.4199
Ga -2.6579 -0.2097 1.0881
```

Winner for stability: 1

1 | Below is a relaxed structure of GaCoTe3, with properties calculated at the PBE level.

Computed properties:
The value obtained for the total magnetization is 1.448 μB per cell.

Cell and atoms, written as extended XYZ:
```
5
Lattice="-2.5540 -2.7946 3.4592 4.1030 -3.0192 0.5903 1.7149 3.0616 3.7395" Properties=species:S:1:pos:R:3 pbc="T T T"
Te 2.0515 -1.5096 0.2951
Te 0.8574 1.5308 1.8698
Te -1.2770 -1.3973 1.7296
Co 0.0000 0.0000 0.0000
Ga 1.6319 -1.3761 3.8945
```

2 | Below is a relaxed structure of GaCoTe3, with properties calculated at the PBE level.

Computed properties:
The value obtained for the total magnetization is 2.626 μB per cell.

Cell and atoms, written as extended XYZ:
```
5
Lattice="5.3375 0.0000 0.0000 0.0000 5.3375 0.0000 0.0000 0.0000 5.3375" Properties=species:S:1:pos:R:3 pbc="T T T"
Te 0.0000 2.6688 0.0000
Te 0.0000 0.0000 2.6688
Te 2.6688 0.0000 0.0000
Co 2.6688 2.6688 2.6688
Ga 0.0000 0.0000 0.0000
```

Winner for stability: 1

1 | Below is a relaxed structure of GaCo3Te, with properties calculated at the PBE level.

Computed properties:
The value obtained for the total magnetization is 4.093 μB per cell.

Cell and atoms, written as extended XYZ:
```
5
Lattice="4.6693 0.0000 0.0000 0.0000 4.6693 0.0000 0.0000 0.0000 4.6693" Properties=species:S:1:pos:R:3 pbc="T T T"
Te 0.0000 0.0000 0.0000
Co 0.0000 2.3346 0.0000
Co 0.0000 0.0000 2.3346
Co 2.3346 0.0000 0.0000
Ga 2.3346 2.3346 2.3346
```

2 | Below is a relaxed structure of GaCo3Te, with properties calculated at the PBE level.

Computed properties:
The value obtained for the total magnetization is 3.718 μB per cell.

Cell and atoms, written as extended XYZ:
```
5
Lattice="4.3958 0.0000 0.0000 0.0000 4.3958 0.0000 0.0000 0.0000 4.3958" Properties=species:S:1:pos:R:3 pbc="T T T"
Te 2.1979 2.1979 2.1979
Co 0.0000 2.1979 0.0000
Co 0.0000 0.0000 2.1979
Co 2.1979 0.0000 0.0000
Ga 0.0000 0.0000 0.0000
```

Winner for stability: 2

1 | Below is a relaxed structure of ThGaCo3, with properties calculated at the PBE level.

Computed properties:
The value obtained for the total magnetization is 2.516 μB per cell.

Cell and atoms, written as extended XYZ:
```
10
Lattice="-3.7348 -3.1457 -0.7488 4.0029 -3.2505 -6.3105 1.6105 0.5372 6.0068" Properties=species:S:1:pos:R:3 pbc="T T T"
Th 1.0823 -1.5010 0.9075
Th 0.7963 -4.3580 -1.9600
Ga 2.0014 -1.6252 -3.1552
Ga -1.8674 -1.5728 -0.3744
Co -0.2099 -2.6042 3.8393
Co 1.6575 -1.0314 4.2136
Co 0.2210 -4.8276 -5.2661
Co 2.0884 -3.2547 -4.8917
Co 3.6349 -3.5738 -3.1166
Co -1.7563 -2.2852 2.0642
```

2 | Below is a relaxed structure of ThGaCo3, with properties calculated at the PBE level.

Computed properties:
The value obtained for the total magnetization is 4.163 μB per cell.

Cell and atoms, written as extended XYZ:
```
10
Lattice="-2.8840 -2.1749 -3.7341 2.3352 -5.5277 -2.1981 -3.3508 -5.0857 1.9360" Properties=species:S:1:pos:R:3 pbc="T T T"
Th -1.9619 -4.3199 -3.1969
Th -1.9378 -8.4684 -0.7992
Ga -0.5078 -5.3067 -0.1310
Ga -1.4420 -1.0874 -1.8670
Co -4.3262 -5.7710 -2.3327
Co -2.8842 -4.6836 -0.4657
Co -1.0154 -8.1048 -3.5305
Co 0.4265 -7.0173 -1.6634
Co -2.9217 -9.5915 -2.9994
Co -0.9780 -3.1968 -0.9968
```

Winner for stability: 1